First-principles (PBE with a Hubbard U) data for a relaxed HfAlCo2O6 crystal, as listed in Alexandria via LeMat-Bulk.

Summary:
M_tot ... 1.00 μB/cell
VASP energy ... -7.4798 eV per atom

```
data_HfAlCo2O6
_chemical_formula_sum 'Hf1 Al1 Co2 O6'
_space_group_name_H-M_alt 'P 1'
_space_group_IT_number 1
_cell_length_a 5.004
_cell_length_b 5.020
_cell_length_c 5.357
_cell_angle_alpha 117.14
_cell_angle_beta 90.24
_cell_angle_gamma 119.10
loop_
_space_group_symop_operation_xyz
'x,y,z'
loop_
_atom_site_label
_atom_site_fract_x
_atom_site_fract_y
_atom_site_fract_z
Hf1 0.000 0.000 0.000
Al1 0.499 0.001 0.504
Co1 0.304 0.604 0.915
Co2 0.794 0.593 0.402
O1 0.110 0.512 0.207
O2 0.232 0.125 0.704
O3 0.396 0.078 0.203
O4 0.577 0.800 0.696
O5 0.687 0.794 0.208
O6 0.890 0.468 0.692
```